Entry 1:
# Pa2SeF4

An optimized crystal structure of Pa2SeF4 (PBE, the Alexandria database).

Geometry as CIF:
```
data_Pa2SeF4
_chemical_formula_sum 'Pa4 Se2 F8'
_cell_length_a 7.692
_cell_length_b 7.692
_cell_length_c 3.786
_cell_angle_alpha 90.00
_cell_angle_beta 90.00
_cell_angle_gamma 90.00
_symmetry_space_group_name_H-M 'P 1'
_symmetry_Int_Tables_number 1
_symmetry_space_group_name_Hall 'P 1'
loop_
_atom_site_label
_atom_site_fract_x
_atom_site_fract_y
_atom_site_fract_z
Pa1 0.208 0.208 0.000
Pa2 0.292 0.708 0.500
Pa3 0.708 0.292 0.500
Pa4 0.792 0.792 0.000
Se1 0.000 0.000 0.500
Se2 0.500 0.500 0.000
F1 0.084 0.669 0.000
F2 0.169 0.416 0.500
F3 0.331 0.916 0.000
F4 0.416 0.169 0.500
F5 0.584 0.831 0.500
F6 0.669 0.084 0.000
F7 0.831 0.584 0.500
F8 0.916 0.331 0.000
```

Results
Raw total energy (eV/atom): -7.18
N(E_F) (states/eV/cell): 16.9

***

Entry 2:
# Pa2SnF11

An optimized crystal structure of Pa2SnF11 (PBE, the Alexandria database).

Geometry as CIF:
```
data_Pa2SnF11
_chemical_formula_sum 'Pa4 Sn2 F22'
_cell_length_a 8.946
_cell_length_b 8.946
_cell_length_c 8.946
_cell_angle_alpha 122.51
_cell_angle_beta 106.79
_cell_angle_gamma 100.00
_symmetry_space_group_name_H-M 'P 1'
_symmetry_Int_Tables_number 1
_symmetry_space_group_name_Hall 'P 1'
loop_
_atom_site_label
_atom_site_fract_x
_atom_site_fract_y
_atom_site_fract_z
Pa1 0.181 0.147 0.328
Pa2 0.319 0.647 0.966
Pa3 0.681 0.353 0.034
Pa4 0.819 0.853 0.672
Sn1 0.250 0.750 0.500
Sn2 0.750 0.250 0.500
F1 0.000 0.000 0.000
F2 0.050 0.458 0.782
F3 0.057 0.866 0.660
F4 0.176 0.958 0.408
F5 0.206 0.398 0.340
F6 0.216 0.870 0.086
F7 0.284 0.370 0.654
F8 0.294 0.634 0.191
F9 0.324 0.732 0.782
F10 0.443 0.102 0.809
F11 0.450 0.232 0.408
F12 0.500 0.500 0.000
F13 0.550 0.768 0.592
F14 0.557 0.898 0.191
F15 0.676 0.268 0.218
F16 0.706 0.366 0.809
F17 0.716 0.630 0.346
F18 0.784 0.130 0.914
F19 0.794 0.602 0.660
F20 0.824 0.042 0.592
F21 0.943 0.134 0.340
F22 0.950 0.542 0.218
```

Results
Raw total energy (eV/atom): -6.62
N(E_F) (states/eV/cell): 12.2

***

Entry 3:
# SrPa2F8

An optimized crystal structure of SrPa2F8 (PBE, the Alexandria database).

Geometry as CIF:
```
data_SrPa2F8
_chemical_formula_sum 'Sr1 Pa2 F8'
_cell_length_a 6.574
_cell_length_b 6.574
_cell_length_c 5.146
_cell_angle_alpha 99.39
_cell_angle_beta 99.39
_cell_angle_gamma 45.24
_symmetry_space_group_name_H-M 'P 1'
_symmetry_Int_Tables_number 1
_symmetry_space_group_name_Hall 'P 1'
loop_
_atom_site_label
_atom_site_fract_x
_atom_site_fract_y
_atom_site_fract_z
Sr1 0.000 0.000 0.000
Pa1 0.321 0.321 0.434
Pa2 0.679 0.679 0.566
F1 0.075 0.576 0.831
F2 0.126 0.126 0.604
F3 0.424 0.925 0.169
F4 0.483 0.483 0.253
F5 0.517 0.517 0.747
F6 0.576 0.075 0.831
F7 0.874 0.874 0.396
F8 0.925 0.424 0.169
```

Results
Raw total energy (eV/atom): -6.69
N(E_F) (states/eV/cell): 3.5

***

Entry 4:
# Sr2PaF11

An optimized crystal structure of Sr2PaF11 (PBE, the Alexandria database).

Geometry as CIF:
```
data_Sr2PaF11
_chemical_formula_sum 'Sr4 Pa2 F22'
_cell_length_a 9.038
_cell_length_b 9.038
_cell_length_c 9.038
_cell_angle_alpha 120.15
_cell_angle_beta 107.24
_cell_angle_gamma 101.62
_symmetry_space_group_name_H-M 'P 1'
_symmetry_Int_Tables_number 1
_symmetry_space_group_name_Hall 'P 1'
loop_
_atom_site_label
_atom_site_fract_x
_atom_site_fract_y
_atom_site_fract_z
Sr1 0.213 0.209 0.422
Sr2 0.287 0.709 0.996
Sr3 0.713 0.291 0.004
Sr4 0.787 0.791 0.578
Pa1 0.250 0.750 0.500
Pa2 0.750 0.250 0.500
F1 0.000 0.000 0.000
F2 0.014 0.442 0.744
F3 0.070 0.829 0.614
F4 0.152 0.939 0.090
F5 0.198 0.942 0.428
F6 0.214 0.456 0.386
F7 0.286 0.671 0.242
F8 0.302 0.730 0.744
F9 0.348 0.439 0.787
F10 0.430 0.044 0.758
F11 0.486 0.230 0.428
F12 0.500 0.500 0.000
F13 0.514 0.770 0.572
F14 0.570 0.956 0.242
F15 0.652 0.561 0.213
F16 0.698 0.270 0.256
F17 0.714 0.329 0.758
F18 0.786 0.544 0.614
F19 0.802 0.058 0.572
F20 0.848 0.061 0.910
F21 0.930 0.171 0.386
F22 0.986 0.558 0.256
```

Results
Raw total energy (eV/atom): -5.71

***

Entry 5:
# Tb2PaF

An optimized crystal structure of Tb2PaF (PBE, the Alexandria database).

Geometry as CIF:
```
data_Tb2PaF
_chemical_formula_sum 'Tb6 Pa3 F3'
_cell_length_a 3.211
_cell_length_b 3.211
_cell_length_c 30.724
_cell_angle_alpha 90.00
_cell_angle_beta 90.00
_cell_angle_gamma 120.00
_symmetry_space_group_name_H-M 'P 1'
_symmetry_Int_Tables_number 1
_symmetry_space_group_name_Hall 'P 1'
loop_
_atom_site_label
_atom_site_fract_x
_atom_site_fract_y
_atom_site_fract_z
Tb1 0.000 0.000 0.105
Tb2 0.000 0.000 0.895
Tb3 0.333 0.667 0.562
Tb4 0.333 0.667 0.772
Tb5 0.667 0.333 0.228
Tb6 0.667 0.333 0.438
Pa1 0.000 0.000 0.000
Pa2 0.333 0.667 0.667
Pa3 0.667 0.333 0.333
F1 0.000 0.000 0.500
F2 0.333 0.667 0.167
F3 0.667 0.333 0.833
```

Results
Raw total energy (eV/atom): -5.97
N(E_F) (states/eV/cell): 10.4

***

Entry 6:
# TbPaF6

An optimized crystal structure of TbPaF6 (PBE, the Alexandria database).

Geometry as CIF:
```
data_TbPaF6
_chemical_formula_sum 'Tb2 Pa2 F12'
_cell_length_a 5.907
_cell_length_b 8.735
_cell_length_c 5.828
_cell_angle_alpha 90.00
_cell_angle_beta 100.45
_cell_angle_gamma 90.00
_symmetry_space_group_name_H-M 'P 1'
_symmetry_Int_Tables_number 1
_symmetry_space_group_name_Hall 'P 1'
loop_
_atom_site_label
_atom_site_fract_x
_atom_site_fract_y
_atom_site_fract_z
Tb1 0.000 0.000 0.000
Tb2 0.500 0.500 0.000
Pa1 0.000 0.500 0.500
Pa2 0.500 0.000 0.500
F1 0.239 0.153 0.240
F2 0.239 0.847 0.240
F3 0.241 0.000 0.752
F4 0.259 0.500 0.248
F5 0.261 0.347 0.760
F6 0.261 0.653 0.760
F7 0.739 0.347 0.240
F8 0.739 0.653 0.240
F9 0.741 0.500 0.752
F10 0.759 0.000 0.248
F11 0.761 0.153 0.760
F12 0.761 0.847 0.760
```

Results
Raw total energy (eV/atom): -6.81
N(E_F) (states/eV/cell): 8.3

***

Entry 7:
# Pa2TcF

An optimized crystal structure of Pa2TcF (PBE, the Alexandria database).

Geometry as CIF:
```
data_Pa2TcF
_chemical_formula_sum 'Pa6 Tc3 F3'
_cell_length_a 3.127
_cell_length_b 3.127
_cell_length_c 26.222
_cell_angle_alpha 90.00
_cell_angle_beta 90.00
_cell_angle_gamma 120.00
_symmetry_space_group_name_H-M 'P 1'
_symmetry_Int_Tables_number 1
_symmetry_space_group_name_Hall 'P 1'
loop_
_atom_site_label
_atom_site_fract_x
_atom_site_fract_y
_atom_site_fract_z
Pa1 0.000 0.000 0.247
Pa2 0.000 0.000 0.753
Pa3 0.333 0.667 0.420
Pa4 0.333 0.667 0.914
Pa5 0.667 0.333 0.086
Pa6 0.667 0.333 0.580
Tc1 0.000 0.000 0.000
Tc2 0.333 0.667 0.667
Tc3 0.667 0.333 0.333
F1 0.000 0.000 0.500
F2 0.333 0.667 0.167
F3 0.667 0.333 0.833
```

Results
Polymorph energy (0 for the lowest one) (meV/atom): 2.0
Raw total energy (eV/atom): -8.69
N(E_F) (states/eV/cell): 17.8

***

Entry 8:
# Pa2TcF

An optimized crystal structure of Pa2TcF (PBE, the Alexandria database).

Geometry as CIF:
```
data_Pa2TcF
_chemical_formula_sum 'Pa2 Tc1 F1'
_cell_length_a 3.164
_cell_length_b 3.164
_cell_length_c 7.468
_cell_angle_alpha 90.00
_cell_angle_beta 90.00
_cell_angle_gamma 90.00
_symmetry_space_group_name_H-M 'P 1'
_symmetry_Int_Tables_number 1
_symmetry_space_group_name_Hall 'P 1'
loop_
_atom_site_label
_atom_site_fract_x
_atom_site_fract_y
_atom_site_fract_z
Pa1 0.000 0.000 0.250
Pa2 0.000 0.000 0.750
Tc1 0.500 0.500 0.000
F1 0.500 0.500 0.500
```

Results
Polymorph energy (0 for the lowest one) (meV/atom): 0.0
Raw total energy (eV/atom): -8.69
N(E_F) (states/eV/cell): 5.5

***

Entry 9:
# PaTcF2

An optimized crystal structure of PaTcF2 (PBE, the Alexandria database).

Geometry as CIF:
```
data_PaTcF2
_chemical_formula_sum 'Pa3 Tc3 F6'
_cell_length_a 3.057
_cell_length_b 3.057
_cell_length_c 23.773
_cell_angle_alpha 90.00
_cell_angle_beta 90.00
_cell_angle_gamma 120.00
_symmetry_space_group_name_H-M 'P 1'
_symmetry_Int_Tables_number 1
_symmetry_space_group_name_Hall 'P 1'
loop_
_atom_site_label
_atom_site_fract_x
_atom_site_fract_y
_atom_site_fract_z
Pa1 0.000 0.000 0.000
Pa2 0.333 0.667 0.667
Pa3 0.667 0.333 0.333
Tc1 0.000 0.000 0.500
Tc2 0.333 0.667 0.167
Tc3 0.667 0.333 0.833
F1 0.000 0.000 0.408
F2 0.000 0.000 0.592
F3 0.333 0.667 0.074
F4 0.333 0.667 0.259
F5 0.667 0.333 0.741
F6 0.667 0.333 0.926
```

Results
Raw total energy (eV/atom): -7.00
N(E_F) (states/eV/cell): 15.9

***

Entry 10:
# PaTcF

An optimized crystal structure of PaTcF (PBE, the Alexandria database).

Geometry as CIF:
```
data_PaTcF
_chemical_formula_sum 'Pa2 Tc2 F2'
_cell_length_a 9.821
_cell_length_b 9.821
_cell_length_c 9.821
_cell_angle_alpha 21.74
_cell_angle_beta 21.74
_cell_angle_gamma 21.74
_symmetry_space_group_name_H-M 'P 1'
_symmetry_Int_Tables_number 1
_symmetry_space_group_name_Hall 'P 1'
loop_
_atom_site_label
_atom_site_fract_x
_atom_site_fract_y
_atom_site_fract_z
Pa1 0.248 0.248 0.248
Pa2 0.752 0.752 0.752
Tc1 0.365 0.365 0.365
Tc2 0.635 0.635 0.635
F1 0.129 0.129 0.129
F2 0.871 0.871 0.871
```

Results
Raw total energy (eV/atom): -8.50
N(E_F) (states/eV/cell): 6.3

***

Entry 11:
# Pa4Te5F2

An optimized crystal structure of Pa4Te5F2 (PBE, the Alexandria database).

Geometry as CIF:
```
data_Pa4Te5F2
_chemical_formula_sum 'Pa4 Te5 F2'
_cell_length_a 9.081
_cell_length_b 9.081
_cell_length_c 9.247
_cell_angle_alpha 106.08
_cell_angle_beta 106.08
_cell_angle_gamma 26.72
_symmetry_space_group_name_H-M 'P 1'
_symmetry_Int_Tables_number 1
_symmetry_space_group_name_Hall 'P 1'
loop_
_atom_site_label
_atom_site_fract_x
_atom_site_fract_y
_atom_site_fract_z
Pa1 0.003 0.003 0.251
Pa2 0.364 0.364 0.449
Pa3 0.636 0.636 0.551
Pa4 0.997 0.997 0.749
Te1 0.175 0.175 0.815
Te2 0.180 0.180 0.335
Te3 0.500 0.500 0.000
Te4 0.820 0.820 0.665
Te5 0.825 0.825 0.185
F1 0.490 0.490 0.364
F2 0.510 0.510 0.636
```

Results
Raw total energy (eV/atom): -6.48
N(E_F) (states/eV/cell): 16.2

***

Entry 12:
# Pa2TeF4

An optimized crystal structure of Pa2TeF4 (PBE, the Alexandria database).

Geometry as CIF:
```
data_Pa2TeF4
_chemical_formula_sum 'Pa4 Te2 F8'
_cell_length_a 4.273
_cell_length_b 13.212
_cell_length_c 4.145
_cell_angle_alpha 90.00
_cell_angle_beta 90.00
_cell_angle_gamma 90.00
_symmetry_space_group_name_H-M 'P 1'
_symmetry_Int_Tables_number 1
_symmetry_space_group_name_Hall 'P 1'
loop_
_atom_site_label
_atom_site_fract_x
_atom_site_fract_y
_atom_site_fract_z
Pa1 0.000 0.105 0.000
Pa2 0.000 0.895 0.000
Pa3 0.500 0.395 0.000
Pa4 0.500 0.605 0.000
Te1 0.000 0.500 0.500
Te2 0.500 0.000 0.500
F1 0.000 0.182 0.500
F2 0.000 0.303 0.000
F3 0.000 0.697 0.000
F4 0.000 0.818 0.500
F5 0.500 0.197 0.000
F6 0.500 0.318 0.500
F7 0.500 0.682 0.500
F8 0.500 0.803 0.000
```

Results
Raw total energy (eV/atom): -6.95
N(E_F) (states/eV/cell): 11.0

***

no.,magnetic moment (μB/f.u.),formation energy (no corrections) (eV/atom),volume (Å³/cell)
1,3.275,-2.899,224.0
2,1.002,-3.507,527.8
3,0.059,-3.452,155.4
4,0.000,-3.319,552.1
5,0.000,-0.809,274.4
6,1.904,-3.645,295.7
7,0.000,-0.878,222.0
8,0.000,-0.880,74.8
9,2.333,-1.095,192.4
10,0.000,-1.255,113.9
11,4.563,-1.254,328.7
12,0.244,-2.719,234.0